Model w:
Below is crystalline BeCd2Cu at its relaxed geometry, with properties calculated at the PBE level.

a = 5.1592 Å, b = 5.1592 Å, c = 4.7635 Å
α = 111.49°, β = 111.49°, γ = 32.68°
Closest atoms and distances in Å follow each position.
Element x y z (fractional)
Be 0.0000 0.0000 0.0000  2 Cu 2.29
Cd 0.5447 0.5447 0.5310  4 Be 2.80-2.84, 3 Cu 2.82-2.87, 6 Cd 2.90-3.09
Cd 0.7532 0.7532 0.1871  3 Be 2.74-2.90, 4 Cu 2.82-2.87, 3 Cd 2.90-3.02
Cu 0.3146 0.3146 0.7415  2 Be 2.29

Values from the calculation:
Its density of states at the Fermi level is 1.034 states/eV/cell. As for the space group: No. 8.

Model x:
Below is crystalline BeCd2Cu at its relaxed geometry, with properties calculated at the PBE level.

a = 2.9775 Å, b = 2.9775 Å, c = 7.0814 Å
α = 90.00°, β = 90.00°, γ = 90.00°
Closest atoms and distances in Å follow each position.
Element x y z (fractional)
Be 0.0000 0.0000 0.0000  4 Cu 2.33
Cd 0.0000 0.0000 0.5938  4 Cu 2.83, 1 Be 2.88, 4 Cd 2.98
Cd 0.5000 0.5000 0.2577  4 Be 2.79, 1 Cu 2.81, 4 Cd 2.98
Cu 0.5000 0.5000 0.8603  4 Be 2.33

Values from the calculation:
Its density of states at the Fermi level is 1.007 states/eV/cell. As for the space group: No. 99.

Unit: kJ/mol of atoms. Relative energies: model w 7.6; model x 0.0.

Model w:
Below is crystalline BeCd2Cu at its relaxed geometry, with properties calculated at the PBE level.

a = 3.0664 Å, b = 3.2804 Å, c = 6.2099 Å
α = 90.00°, β = 90.83°, γ = 90.00°
Closest atoms and distances in Å follow each position.
Element x y z (fractional)
Be 0.0000 0.0000 0.0000  8 Cd 2.68-2.72
Cd 0.4972 0.5000 0.2419  4 Be 2.68-2.72, 4 Cu 2.75-2.77, 1 Cd 3.00
Cd 0.5028 0.5000 0.7581  4 Be 2.68-2.72, 4 Cu 2.75-2.77, 1 Cd 3.00
Cu 0.0000 0.0000 0.5000  8 Cd 2.75-2.77, 2 Cu 3.07

Values from the calculation:
Its density of states at the Fermi level is 1.043 states/eV/cell. As for the space group: No. 10.

Model x:
Below is crystalline BeCd2Cu at its relaxed geometry, with properties calculated at the PBE level.

a = 8.8642 Å, b = 8.8642 Å, c = 8.8642 Å
α = 19.02°, β = 19.02°, γ = 19.02°
Closest atoms and distances in Å follow each position.
Element x y z (fractional)
Be 0.0000 0.0000 0.0000  6 Cd 2.69, 6 Be 2.93
Cd 0.2530 0.2530 0.2530  3 Be 2.69, 3 Cu 2.82, 6 Cd 2.93
Cd 0.7470 0.7470 0.7470  3 Be 2.69, 3 Cu 2.82, 6 Cd 2.93
Cu 0.5000 0.5000 0.5000  6 Cd 2.82, 6 Cu 2.93

Values from the calculation:
Its density of states at the Fermi level is 1.319 states/eV/cell. As for the space group: No. 166.

Unit: kJ/mol of atoms. Relative energies: model w 0.0; model x 9.8.

Model w:
Below is crystalline BeCdCu3 at its relaxed geometry, with properties calculated at the PBE level.

a = 4.7474 Å, b = 4.7474 Å, c = 4.7474 Å
α = 90.00°, β = 90.00°, γ = 90.00°
Closest atoms and distances in Å follow each position.
Element x y z (fractional)
Be 0.0000 0.0000 0.0000  12 Cu 3.36
Cd 0.5000 0.5000 0.5000  6 Cu 2.37
Cu 0.0000 0.5000 0.5000  2 Cd 2.37
Cu 0.5000 0.0000 0.5000  2 Cd 2.37
Cu 0.5000 0.5000 0.0000  2 Cd 2.37

Values from the calculation:
Its density of states at the Fermi level is 2.486 states/eV/cell. As for the space group: No. 221.

Model x:
Below is crystalline BeCdCu3 at its relaxed geometry, with properties calculated at the PBE level.

a = 4.1236 Å, b = 4.1236 Å, c = 4.1236 Å
α = 90.00°, β = 90.00°, γ = 90.00°
Closest atoms and distances in Å follow each position.
Element x y z (fractional)
Be 0.0000 0.0000 0.0000  6 Cu 2.06
Cd 0.5000 0.5000 0.5000  12 Cu 2.92
Cu 0.0000 0.0000 0.5000  2 Be 2.06
Cu 0.0000 0.5000 0.0000  2 Be 2.06
Cu 0.5000 0.0000 0.0000  2 Be 2.06

Values from the calculation:
Its density of states at the Fermi level is 1.396 states/eV/cell. As for the space group: No. 221.

Unit: kJ/mol of atoms. Relative energies: model w 102.4; model x 0.0.